No. 1
Here is a relaxed structure of Ta4BiPC2 from OQMD via LeMat-Bulk. Energies are from PBE-GGA.

Cell lengths 3.3296, 3.3296, 12.6557 Å; angles 90.00, 90.00, 120.00 degrees
Last column: nearest neighbours and their distance in Å.
Positions (direct):
Bi  0.3333  0.6667  0.5000  6 Ta 3.06, 6 Bi 3.33
C  0.0000  0.0000  0.2295  6 Ta 2.19-2.26
C  0.0000  0.0000  0.7705  6 Ta 2.19-2.26
P  0.6667  0.3333  0.0000  6 Ta 2.57
Ta  0.3333  0.6667  0.1354  3 C 2.26
Ta  0.6667  0.3333  0.3121  3 C 2.19
Ta  0.6667  0.3333  0.6879  3 C 2.19
Ta  0.3333  0.6667  0.8646  3 C 2.26

total DFT energy (no corrections): -9.843 eV/atom
space group: P-6m2, No. 187

***

No. 2
Here is a relaxed structure of Zr4BiPC2 from OQMD via LeMat-Bulk. Energies are from PBE-GGA.

Cell lengths 3.4549, 3.4549, 13.4783 Å; angles 90.00, 90.00, 120.00 degrees
Last column: nearest neighbours and their distance in Å.
Positions (direct):
Bi  0.0000  0.0000  0.0000  6 Zr 3.16, 6 Bi 3.45
C  0.3333  0.6667  0.2709  6 Zr 2.33-2.38
C  0.3333  0.6667  0.7291  6 Zr 2.33-2.38
P  0.6667  0.3333  0.5000  6 Zr 2.68
Zr  0.6667  0.3333  0.1821  3 C 2.33
Zr  0.0000  0.0000  0.3674  3 C 2.38
Zr  0.0000  0.0000  0.6326  3 C 2.38
Zr  0.6667  0.3333  0.8179  3 C 2.33

total DFT energy (no corrections): -8.628 eV/atom
space group: P-6m2, No. 187

***

No. 3
Here is a relaxed structure of Pa3BiC from OQMD via LeMat-Bulk. Energies are from PBE-GGA.

Cell lengths 4.8283, 4.8283, 4.8283 Å; angles 90.00, 90.00, 90.00 degrees
Last column: nearest neighbours and their distance in Å.
Positions (direct):
Bi  0.0000  0.0000  0.0000  12 Pa 3.41
C  0.5000  0.5000  0.5000  6 Pa 2.41
Pa  0.5000  0.5000  0.0000  2 C 2.41
Pa  0.5000  0.0000  0.5000  2 C 2.41
Pa  0.0000  0.5000  0.5000  2 C 2.41

total DFT energy (no corrections): -8.629 eV/atom
space group: Pm-3m, No. 221

***

No. 4
Here is a relaxed structure of PmBi4C3 from OQMD via LeMat-Bulk. Energies are from PBE-GGA.

Cell lengths 5.7483, 5.7483, 5.7483 Å; angles 90.00, 90.00, 90.00 degrees
Last column: nearest neighbours and their distance in Å.
Positions (direct):
Bi  0.5000  0.0000  0.0000  4 C 2.87, 2 Pm 2.87
Bi  0.0000  0.5000  0.0000  2 Pm 2.87, 4 C 2.87
Bi  0.0000  0.0000  0.5000  4 C 2.87, 2 Pm 2.87
Bi  0.5000  0.5000  0.5000  6 C 2.87
C  0.5000  0.5000  0.0000  6 Bi 2.87
C  0.5000  0.0000  0.5000  6 Bi 2.87
C  0.0000  0.5000  0.5000  6 Bi 2.87
Pm  0.0000  0.0000  0.0000  6 Bi 2.87

total DFT energy (no corrections): -4.237 eV/atom
space group: Pm-3m, No. 221

***

No. 5
Here is a relaxed structure of Pu3BiC from OQMD via LeMat-Bulk. Energies are from PBE-GGA.

Cell lengths 4.9279, 4.9279, 4.9279 Å; angles 90.00, 90.00, 90.00 degrees
Last column: nearest neighbours and their distance in Å.
Positions (direct):
Bi  0.0000  0.0000  0.0000  12 Pu 3.48
C  0.5000  0.5000  0.5000  6 Pu 2.46
Pu  0.5000  0.5000  0.0000  2 C 2.46
Pu  0.5000  0.0000  0.5000  2 C 2.46
Pu  0.0000  0.5000  0.5000  2 C 2.46

total DFT energy (no corrections): -11.481 eV/atom
space group: Pm-3m, No. 221

***

No. 6
Here is a relaxed structure of Pu4Bi2C from OQMD via LeMat-Bulk. Energies are from PBE-GGA.

Cell lengths 8.8944, 8.8944, 8.8944 Å; angles 148.47, 148.47, 45.20 degrees
Last column: nearest neighbours and their distance in Å.
Positions (direct):
Bi  0.3553  0.3553  0.0000  9 Pu 3.32-3.42
Bi  0.6447  0.6447  0.0000  9 Pu 3.32-3.42
C  0.0000  0.0000  0.0000  6 Pu 2.42-2.51
Pu  0.1530  0.1530  0.0000  1 C 2.51
Pu  0.8470  0.8470  0.0000  1 C 2.51
Pu  0.5000  0.0000  0.5000  2 C 2.42
Pu  0.0000  0.5000  0.5000  2 C 2.42

total DFT energy (no corrections): -10.971 eV/atom
space group: I4/mmm, No. 139

***

No. 7
Here is a relaxed structure of Ta4BiC2S from OQMD via LeMat-Bulk. Energies are from PBE-GGA.

Cell lengths 3.3570, 3.3570, 12.5288 Å; angles 90.00, 90.00, 120.00 degrees
Last column: nearest neighbours and their distance in Å.
Positions (direct):
Bi  0.0000  0.0000  0.0000  6 Ta 3.06, 6 Bi 3.36
C  0.6667  0.3333  0.2702  6 Ta 2.19-2.24
C  0.6667  0.3333  0.7298  6 Ta 2.19-2.24
S  0.3333  0.6667  0.5000  6 Ta 2.62
Ta  0.3333  0.6667  0.1889  3 C 2.19
Ta  0.0000  0.0000  0.3597  3 C 2.24
Ta  0.0000  0.0000  0.6403  3 C 2.24
Ta  0.3333  0.6667  0.8111  3 C 2.19

total DFT energy (no corrections): -9.658 eV/atom
space group: P-6m2, No. 187

***

No. 8
Here is a relaxed structure of BiSbW4C2 from OQMD via LeMat-Bulk. Energies are from PBE-GGA.

Cell lengths 3.2312, 3.2312, 13.9287 Å; angles 90.00, 90.00, 120.00 degrees
Last column: nearest neighbours and their distance in Å.
Positions (direct):
Bi  0.3333  0.6667  0.0000  6 W 3.18, 6 Bi 3.23
C  0.0000  0.0000  0.2595  6 W 2.14-2.18
C  0.0000  0.0000  0.7405  6 W 2.14-2.18
Sb  0.6667  0.3333  0.5000  6 W 2.90, 6 Sb 3.23
W  0.6667  0.3333  0.1849  3 C 2.14
W  0.3333  0.6667  0.3402  3 C 2.18
W  0.3333  0.6667  0.6598  3 C 2.18
W  0.6667  0.3333  0.8151  3 C 2.14

total DFT energy (no corrections): -9.334 eV/atom
space group: P-6m2, No. 187

***

Copy entry 6 word for word.
Here is a relaxed structure of Pu4Bi2C from OQMD via LeMat-Bulk. Energies are from PBE-GGA.

Cell lengths 8.8944, 8.8944, 8.8944 Å; angles 148.47, 148.47, 45.20 degrees
Last column: nearest neighbours and their distance in Å.
Positions (direct):
Bi  0.3553  0.3553  0.0000  9 Pu 3.32-3.42
Bi  0.6447  0.6447  0.0000  9 Pu 3.32-3.42
C  0.0000  0.0000  0.0000  6 Pu 2.42-2.51
Pu  0.1530  0.1530  0.0000  1 C 2.51
Pu  0.8470  0.8470  0.0000  1 C 2.51
Pu  0.5000  0.0000  0.5000  2 C 2.42
Pu  0.0000  0.5000  0.5000  2 C 2.42

total DFT energy (no corrections): -10.971 eV/atom
space group: I4/mmm, No. 139

***

> What is the formula in the seventh record?

Ta4BiC2S

***

> What is the total DFT energy (no corrections) in the first record?

-9.843 eV/atom